[1]
Compound: TmPSe3S
Source: OQMD
Functional: GGA-PBE
Structure: relaxed

```
data_TmPSe3S
_chemical_formula_sum 'Tm2 P2 Se6 S2'
_space_group_name_H-M_alt 'P -1'
_space_group_IT_number 2
_cell_length_a 6.591
_cell_length_b 6.908
_cell_length_c 7.784
_cell_angle_alpha 87.50
_cell_angle_beta 87.39
_cell_angle_gamma 83.29
loop_
_space_group_symop_operation_xyz
'x,y,z'
'-x,-y,-z'
loop_
_atom_site_label
_atom_site_fract_x
_atom_site_fract_y
_atom_site_fract_z
_atom_site_occupancy
Tm1 0.203 0.206 0.057 1
P1 0.316 0.757 0.819 1
Se1 0.090 0.016 0.755 1
Se2 0.120 0.518 0.783 1
Se3 0.386 0.781 0.096 1
S1 0.423 0.265 0.329 1
```

[2]
Compound: Tb2BiIO4
Source: OQMD
Functional: GGA-PBE
Structure: relaxed

```
data_Tb2BiIO4
_chemical_formula_sum 'Tb2 Bi1 I1 O4'
_space_group_name_H-M_alt 'P 4/m m m'
_space_group_IT_number 123
_space_group_name_Hall '-P 4 2'
_cell_length_a 4.005
_cell_length_b 4.005
_cell_length_c 9.331
_cell_angle_alpha 90.00
_cell_angle_beta 90.00
_cell_angle_gamma 90.00
loop_
_atom_site_label
_atom_site_fract_x
_atom_site_fract_y
_atom_site_fract_z
_atom_site_occupancy
Tb1 0.000 0.000 0.246 1
Bi1 0.500 0.500 0.500 1
I1 0.500 0.500 0.000 1
O1 0.000 0.500 0.342 1
```

[3]
Compound: Tl3Fe
Source: OQMD
Functional: GGA-PBE
Structure: relaxed

```
data_Tl3Fe
_chemical_formula_sum 'Tl3 Fe1'
_space_group_name_H-M_alt 'P m -3 m'
_space_group_IT_number 221
_space_group_name_Hall '-P 4 2 3'
_cell_length_a 4.654
_cell_length_b 4.654
_cell_length_c 4.654
_cell_angle_alpha 90.00
_cell_angle_beta 90.00
_cell_angle_gamma 90.00
loop_
_atom_site_label
_atom_site_fract_x
_atom_site_fract_y
_atom_site_fract_z
_atom_site_occupancy
Tl1 0.000 0.000 0.500 1
Fe1 0.500 0.500 0.500 1
```

[4]
Compound: SmGaAg
Source: OQMD
Functional: GGA-PBE
Structure: relaxed

```
data_SmGaAg
_chemical_formula_sum 'Sm4 Ga4 Ag4'
_space_group_name_H-M_alt 'F -4 3 m'
_space_group_IT_number 216
_space_group_name_Hall 'F -4 2 3'
_cell_length_a 6.687
_cell_length_b 6.687
_cell_length_c 6.687
_cell_angle_alpha 90.00
_cell_angle_beta 90.00
_cell_angle_gamma 90.00
loop_
_atom_site_label
_atom_site_fract_x
_atom_site_fract_y
_atom_site_fract_z
_atom_site_occupancy
Sm1 0.000 0.000 0.000 1
Ga1 0.000 0.000 0.500 1
Ag1 0.250 0.250 0.750 1
```

One value per record, in order, for final energy: -4.947 -6.694 -3.271 -3.789 eV per atom.